The following is a GGA-PBE calculation of a relaxed structure of RbLiIn, from the Alexandria database.

```
RbLiIn
1.0
-1.9580 1.9580 6.8109
1.9580 -1.9580 6.8109
1.9580 1.9580 -6.8109
Rb Li In
1 1 1
Cartesian
0.0000 0.0000 0.0000 Rb
0.0000 0.0000 9.8780 Li
0.0000 0.0000 3.9832 In
```

Results
As for the density of states at the Fermi level: 2.28 states/eV/f.u. The formation enthalpy at 0 K comes out at -0.003 eV/atom. For the calculated density, the calculation gives 3.29 g cm⁻³.